Density functional theory data (PBE) for crystalline Sr2InGa3Au4 at its relaxed geometry.

```
Sr2InGa3Au4
1.0
-3.951 2.083 1.052
0.941 -0.472 4.466
5.091 9.681 -0.050
Au Sr Ga In
4 2 3 1
Direct
0.500 0.000 0.645
0.000 0.500 0.355
0.500 0.500 0.000
0.000 0.000 0.000
0.500 0.000 0.242
0.000 0.500 0.758
0.500 0.000 0.880
0.000 0.000 0.500
0.000 0.500 0.120
0.500 0.500 0.500
```

Symmetry: P-4m2
Formation enthalpy at 0 K in eV/atom: -0.583